This record from Alexandria via LeMat-Bulk describes a crystal of K2LiInAs2 relaxed with PBEsol. The functional is meta-GGA SCAN.

Structure (extended XYZ):
```
24
Lattice="6.400 -7.766 0.000 6.400 7.766 0.000 0.000 0.000 6.347" Properties=species:S:1:pos:R:3 pbc="T T T"
K 3.200 2.731 4.760
K 6.400 5.080 4.909
K 6.400 2.686 1.736
K 3.200 -2.731 1.587
K 9.600 2.731 4.760
K 6.400 -2.686 4.611
K 6.400 -5.080 1.438
K 9.600 -2.731 1.587
Li 1.533 0.000 0.000
Li 4.867 0.000 3.173
Li 7.933 0.000 3.173
Li 11.267 0.000 0.000
In 1.688 0.000 3.173
In 4.712 0.000 0.000
In 8.088 0.000 0.000
In 11.112 0.000 3.173
As 6.400 6.238 1.703
As 3.200 1.576 1.587
As 3.200 -1.576 4.760
As 6.400 1.527 4.876
As 6.400 -1.527 1.470
As 9.600 1.576 1.587
As 9.600 -1.576 4.760
As 6.400 -6.238 4.644
```

Summary:
M_tot   0.0 μB per cell
ΔH_f (0 K)   -0.6844 eV/atom
V   157.7 Å³/f.u.
Space-group type   Cmce